# LiIn6Ag12 (GGA-PBE, relaxed)
data_LiIn6Ag12
_chemical_formula_sum 'Li3 In18 Ag36'
_cell_length_a 10.2805
_cell_length_b 10.2805
_cell_length_c 12.2394
_cell_angle_alpha 90.00
_cell_angle_beta 90.00
_cell_angle_gamma 120.00
_space_group_name_H-M_alt 'R -3'
_space_group_IT_number 148
_space_group_name_Hall '-R 3'
loop_
_atom_site_label
_atom_site_fract_x
_atom_site_fract_y
_atom_site_fract_z
Li1 0.0000 0.0000 0.0000
In1 0.0262 0.5922 0.7176
Ag1 0.0475 0.8670 0.8132
Ag2 0.0624 0.1977 0.4045
# - E_form (eV per atom) = -0.0124
# - D(E_F) (states/eV/cell) = 20.02



# CsCaI3 (GGA-PBE, relaxed)
data_CsCaI3
_chemical_formula_sum 'Cs4 Ca4 I12'
_cell_length_a 7.997
_cell_length_b 20.451
_cell_length_c 9.083
_cell_angle_alpha 90.00
_cell_angle_beta 90.00
_cell_angle_gamma 90.00
_space_group_name_H-M_alt 'C m c m'
_space_group_IT_number 63
_space_group_name_Hall '-C 2c 2'
loop_
_atom_site_label
_atom_site_fract_x
_atom_site_fract_y
_atom_site_fract_z
Cs1 0.000 0.147 0.250
Ca1 0.000 0.394 0.250
I1 0.000 0.000 0.000
I2 0.234 0.196 0.750
# - D(E_F) (states/eV/cell) = 0.00
# - ΔE_f (raw) (meV per atom) = -1056



# SrInGe3 (GGA-PBE, relaxed)
data_SrInGe3
_chemical_formula_sum 'Sr1 In1 Ge3'
_cell_length_a 5.682
_cell_length_b 5.682
_cell_length_c 5.682
_cell_angle_alpha 90.00
_cell_angle_beta 90.00
_cell_angle_gamma 90.00
_space_group_name_H-M_alt 'P m -3 m'
_space_group_IT_number 221
_space_group_name_Hall '-P 4 2 3'
loop_
_atom_site_label
_atom_site_fract_x
_atom_site_fract_y
_atom_site_fract_z
Sr1 0.000 0.000 0.000
In1 0.500 0.500 0.500
Ge1 0.000 0.000 0.500
# - E_form (eV per atom) = 1.0158
# - excess energy over the best structure of this formula in the dataset (meV per atom) = 711
# - D(E_F) (states/eV/cell) = 6.79



# MgH12Rh4 (GGA-PBE, relaxed)
data_MgH12Rh4
_chemical_formula_sum 'Mg2 H24 Rh8'
_cell_length_a 6.400
_cell_length_b 6.400
_cell_length_c 6.400
_cell_angle_alpha 90.00
_cell_angle_beta 90.00
_cell_angle_gamma 90.00
_space_group_name_H-M_alt 'I m -3'
_space_group_IT_number 204
_space_group_name_Hall '-I 2 2 3'
loop_
_atom_site_label
_atom_site_fract_x
_atom_site_fract_y
_atom_site_fract_z
Mg1 0.000 0.000 0.000
H1 0.000 0.189 0.324
Rh1 0.250 0.250 0.250
# - D(E_F) (states/eV/cell) = 9.40



# Ce3Mg5S12 (GGA-PBE, relaxed)
data_Ce3Mg5S12
_chemical_formula_sum 'Ce24 Mg40 S96'
_cell_length_a 15.384
_cell_length_b 15.384
_cell_length_c 15.384
_cell_angle_alpha 90.00
_cell_angle_beta 90.00
_cell_angle_gamma 90.00
_space_group_name_H-M_alt 'I a -3 d'
_space_group_IT_number 230
_space_group_name_Hall '-I 4bd 2c 3'
loop_
_atom_site_label
_atom_site_fract_x
_atom_site_fract_y
_atom_site_fract_z
Ce1 0.000 0.250 0.125
Mg1 0.000 0.000 0.000
Mg2 0.000 0.250 0.375
S1 0.023 0.068 0.652
# - D(E_F) (states/eV/cell) = 213.43
# - ΔE_f (raw) (meV per atom) = -1316



# HfTl4S4 (GGA-PBE, relaxed)
data_HfTl4S4
_chemical_formula_sum 'Hf5 Tl20 S20'
_cell_length_a 9.252
_cell_length_b 9.255
_cell_length_c 15.726
_cell_angle_alpha 76.10
_cell_angle_beta 75.55
_cell_angle_gamma 89.87
_space_group_name_H-M_alt 'P -1'
_space_group_IT_number 2
loop_
_space_group_symop_operation_xyz
'x,y,z'
'-x,-y,-z'
loop_
_atom_site_label
_atom_site_fract_x
_atom_site_fract_y
_atom_site_fract_z
Hf1 0.000 0.000 0.000
Hf2 0.014 0.179 0.401
Hf3 0.172 0.815 0.801
Tl1 0.040 0.571 0.202
Tl2 0.210 0.219 0.599
Tl3 0.214 0.584 0.403
Tl4 0.218 0.394 0.009
Tl5 0.221 0.951 0.204
Tl6 0.372 0.601 0.614
Tl7 0.383 0.201 0.810
Tl8 0.390 0.787 0.996
Tl9 0.411 0.969 0.403
Tl10 0.418 0.387 0.202
S1 0.064 0.560 0.595
S2 0.071 0.898 0.424
S3 0.076 0.741 0.977
S4 0.085 0.079 0.825
S5 0.090 0.233 0.226
S6 0.239 0.550 0.808
S7 0.244 0.889 0.626
S8 0.266 0.072 0.004
S9 0.279 0.252 0.397
S10 0.435 0.889 0.800
# - ΔE_f (raw) (meV per atom) = -801



Number 1: electronic total energy -158.4 eV per cell, size of the total moment 0.00 μB per formula unit. Number 2: electronic total energy -51.1 eV per cell, size of the total moment 0.00 μB per formula unit. Number 3: electronic total energy -13.2 eV per cell, size of the total moment 0.45 μB per formula unit. Number 4: electronic total energy -144.0 eV per cell, size of the total moment 0.00 μB per formula unit. Number 5: electronic total energy -813.1 eV per cell, size of the total moment 0.01 μB per formula unit. Number 6: electronic total energy -215.7 eV per cell, size of the total moment 0.00 μB per formula unit.